Record 1
A PBEsol-optimized structure of RbSr2Nb3O10. Source: Alexandria via LeMat-Bulk, functional SCAN.

```
16
Lattice="3.953 0.000 0.000 0.000 3.953 0.000 0.000 0.000 15.229" Properties=species:S:1:pos:R:3 pbc="T T T"
Sr 1.976 1.976 13.001
O 0.000 0.000 6.136
O 1.976 0.000 11.300
O 0.000 0.000 9.094
O 1.976 0.000 3.929
Nb 0.000 0.000 10.883
O 0.000 1.976 3.929
Nb 0.000 0.000 4.346
Nb 0.000 0.000 0.000
O 0.000 1.976 0.000
O 1.976 0.000 0.000
Rb 1.976 1.976 7.615
O 0.000 0.000 13.260
O 0.000 1.976 11.300
O 0.000 0.000 1.969
Sr 1.976 1.976 2.228
```

**Total energy**: -274.284 eV/cell
**SG**: No. 123
**V**: 237.95 Å³/cell



Record 2
A PBEsol-optimized structure of RbTi3NbO9. Source: Alexandria via LeMat-Bulk, functional SCAN.

```
28
Lattice="3.809 0.000 0.000 0.000 6.394 0.000 0.000 0.000 14.997" Properties=species:S:1:pos:R:3 pbc="T T T"
O 1.905 1.100 11.210
O 1.905 2.271 0.166
O 0.000 4.187 14.856
Ti 1.905 4.364 8.178
Nb 1.905 1.548 13.034
O 1.905 6.036 13.675
Ti 1.905 1.492 9.319
O 1.905 3.479 12.818
O 0.000 0.405 1.390
O 0.000 5.293 3.712
Ti 0.000 1.960 6.952
Ti 0.000 4.902 1.821
O 0.000 1.507 8.930
O 1.905 3.379 9.696
O 0.000 4.123 7.664
O 0.000 1.562 13.549
O 1.905 5.989 8.889
Rb 0.000 4.981 11.201
Ti 1.905 4.434 14.450
O 0.000 0.358 6.176
O 1.905 2.207 7.358
O 1.905 4.832 6.050
Ti 0.000 2.029 0.680
Rb 1.905 1.413 3.702
O 1.905 4.886 1.432
O 0.000 3.015 2.197
Nb 0.000 4.845 5.536
O 0.000 2.914 5.319
```

**Total energy**: -402.511 eV/cell
**SG**: No. 31
**V**: 365.24 Å³/cell



Record 3
A PBEsol-optimized structure of RbTiNbO5. Source: Alexandria via LeMat-Bulk, functional SCAN.

```
32
Lattice="3.819 0.000 0.000 0.000 6.458 0.000 0.000 0.000 18.964" Properties=species:S:1:pos:R:3 pbc="T T T"
O 0.955 0.920 9.677
Nb 2.865 4.688 11.505
Ti 2.865 4.380 18.348
O 0.955 4.756 10.934
O 2.865 4.931 1.452
O 0.955 4.149 18.769
O 0.955 1.527 17.512
O 2.865 4.236 13.252
O 0.955 3.669 8.155
Rb 0.955 1.833 13.143
Ti 0.955 2.078 0.616
Nb 0.955 1.770 7.460
O 2.865 2.309 0.195
Rb 2.865 1.396 3.661
O 0.955 6.247 7.260
O 0.955 2.222 5.712
O 0.955 0.440 1.328
O 2.865 2.789 10.810
O 2.865 1.007 15.194
O 0.955 3.018 2.222
O 2.865 5.538 9.287
Rb 2.865 4.625 5.822
O 2.865 6.018 17.637
O 2.865 0.211 11.704
Nb 0.955 4.999 2.022
O 0.955 5.451 3.770
O 2.865 1.702 8.030
Ti 2.865 1.151 10.098
O 2.865 3.440 16.742
Nb 2.865 1.459 16.942
Ti 0.955 5.307 8.866
Rb 0.955 5.062 15.304
```

**Total energy**: -497.434 eV/cell
**SG**: No. 62
**V**: 467.78 Å³/cell



Record 4
A PBEsol-optimized structure of RbNbWO6. Source: Alexandria via LeMat-Bulk, functional SCAN.

```
18
Lattice="-6.492 1.458 -3.043 -1.492 -2.455 -6.789 -4.905 -5.424 -0.931" Properties=species:S:1:pos:R:3 pbc="T T T"
O -4.984 -2.094 -4.603
Nb -3.246 0.729 -1.522
O -5.425 -4.883 -4.998
O -7.304 -3.339 -3.610
Rb -4.065 -3.389 -1.748
O -2.364 -1.391 -4.420
O -10.525 -5.030 -6.344
O -8.648 -6.439 -7.664
Rb -8.824 -3.031 -9.015
O -11.128 -5.882 -8.826
Nb -6.444 -3.210 -5.382
W -3.992 -0.498 -4.916
O -7.905 -4.326 -6.160
W -0.746 -1.227 -3.394
O -7.464 -1.537 -5.766
O -4.241 0.018 -3.100
O -5.585 -3.082 -7.153
O -1.761 -0.539 -1.937
```

**Total energy**: -366.992 eV/cell
**SG**: No. 74
**V**: 282.73 Å³/cell



Please write out number 4 again, unchanged.
A PBEsol-optimized structure of RbNbWO6. Source: Alexandria via LeMat-Bulk, functional SCAN.

```
18
Lattice="-6.492 1.458 -3.043 -1.492 -2.455 -6.789 -4.905 -5.424 -0.931" Properties=species:S:1:pos:R:3 pbc="T T T"
O -4.984 -2.094 -4.603
Nb -3.246 0.729 -1.522
O -5.425 -4.883 -4.998
O -7.304 -3.339 -3.610
Rb -4.065 -3.389 -1.748
O -2.364 -1.391 -4.420
O -10.525 -5.030 -6.344
O -8.648 -6.439 -7.664
Rb -8.824 -3.031 -9.015
O -11.128 -5.882 -8.826
Nb -6.444 -3.210 -5.382
W -3.992 -0.498 -4.916
O -7.905 -4.326 -6.160
W -0.746 -1.227 -3.394
O -7.464 -1.537 -5.766
O -4.241 0.018 -3.100
O -5.585 -3.082 -7.153
O -1.761 -0.539 -1.937
```

**Total energy**: -366.992 eV/cell
**SG**: No. 74
**V**: 282.73 Å³/cell



> Number 4 is which compound?

RbNbWO6